! PBE-GGA La2InPb, relaxed; values from VASP
&SYSTEM
  ibrav = 0, nat = 4, ntyp = 3
/
ATOMIC_SPECIES
La 138.91 La.upf
In 114.82 In.upf
Pb 207.20 Pb.upf
ATOMIC_POSITIONS crystal
La 0.808 0.500 0.617
La 0.083 0.000 0.165
In 0.531 0.500 0.062
Pb 0.362 0.000 0.724
CELL_PARAMETERS angstrom
-4.058 -1.908 1.809
-1.530 -0.749 -4.224
4.626 -4.537 -0.871
! * total moment: 0.46 μB/cell
! * Fermi-level density of states: 3.9 states/eV/f.u.
! * energy relative to the elements: -54.1 kJ/mol of atoms

! PBE-GGA LaInPb, relaxed; values from VASP
&SYSTEM
  ibrav = 0, nat = 3, ntyp = 3
/
ATOMIC_SPECIES
In 114.82 In.upf
La 138.91 La.upf
Pb 207.20 Pb.upf
ATOMIC_POSITIONS crystal
In 0.500 0.500 0.500
La 0.750 0.750 0.750
Pb 0.000 0.000 0.000
CELL_PARAMETERS angstrom
-0.091 -0.321 -5.337
-4.245 -2.102 -2.480
-3.283 3.147 -2.812
! * total moment: 0.00 μB/cell
! * Fermi-level density of states: 1.2 states/eV/f.u.
! * excess energy over the best structure of this formula in the dataset: 0.3161 eV per atom
! * energy relative to the elements: -14.3 kJ/mol of atoms

! PBE-GGA La2InPb2, relaxed; values from VASP
&SYSTEM
  ibrav = 0, nat = 10, ntyp = 3
/
ATOMIC_SPECIES
Pb 207.20 Pb.upf
In 114.82 In.upf
La 138.91 La.upf
ATOMIC_POSITIONS crystal
Pb 0.176 0.676 0.500
Pb 0.676 0.824 0.500
Pb 0.824 0.324 0.500
Pb 0.324 0.176 0.500
In 0.000 0.000 0.000
In 0.500 0.500 0.000
La 0.371 0.871 0.000
La 0.871 0.629 0.000
La 0.629 0.129 0.000
La 0.129 0.371 0.000
CELL_PARAMETERS angstrom
8.753 0.000 0.000
0.000 8.753 0.000
0.000 0.000 4.283
! * total moment: 0.00 μB/cell
! * Fermi-level density of states: 2.8 states/eV/f.u.
! * excess energy over the best structure of this formula in the dataset: 0.1762 eV per atom
! * energy relative to the elements: -33.9 kJ/mol of atoms

! PBE-GGA LaIn2Pb, relaxed; values from VASP
&SYSTEM
  ibrav = 0, nat = 4, ntyp = 3
/
ATOMIC_SPECIES
In 114.82 In.upf
La 138.91 La.upf
Pb 207.20 Pb.upf
ATOMIC_POSITIONS crystal
In 0.000 0.000 0.009
In 0.500 0.500 0.220
La 0.000 0.000 0.493
Pb 0.500 0.500 0.778
CELL_PARAMETERS angstrom
3.992 0.001 0.000
0.007 3.992 0.000
0.000 0.000 7.339
! * total moment: 0.00 μB/cell
! * Fermi-level density of states: 2.8 states/eV/f.u.
! * energy relative to the elements: -27.6 kJ/mol of atoms

! PBE-GGA LaIn2Pb, relaxed; values from VASP
&SYSTEM
  ibrav = 0, nat = 8, ntyp = 3
/
ATOMIC_SPECIES
Pb 207.20 Pb.upf
In 114.82 In.upf
La 138.91 La.upf
ATOMIC_POSITIONS crystal
Pb 0.000 0.000 0.000
Pb 0.750 0.250 0.500
In 0.650 0.125 0.250
In 0.100 0.625 0.250
In 0.375 0.350 0.750
In 0.875 0.900 0.750
La 0.500 0.500 0.000
La 0.250 0.750 0.500
CELL_PARAMETERS angstrom
-1.130 8.657 0.002
-3.352 -0.436 -8.049
-5.256 3.716 -2.747
! * total moment: 0.00 μB/cell
! * Fermi-level density of states: 3.3 states/eV/f.u.
! * energy relative to the elements: -21.9 kJ/mol of atoms

! PBE-GGA LaInPb, relaxed; values from VASP
&SYSTEM
  ibrav = 0, nat = 6, ntyp = 3
/
ATOMIC_SPECIES
La 138.91 La.upf
In 114.82 In.upf
Pb 207.20 Pb.upf
ATOMIC_POSITIONS crystal
La 0.250 0.096 0.191
La 0.750 0.904 0.809
In 0.250 0.742 0.484
In 0.750 0.258 0.516
Pb 0.250 0.427 0.854
Pb 0.750 0.573 0.146
CELL_PARAMETERS angstrom
-4.017 -0.181 -2.177
-2.148 -1.460 4.083
-0.395 8.636 0.013
! * total moment: 0.00 μB/cell
! * Fermi-level density of states: 2.9 states/eV/f.u.
! * excess energy over the best structure of this formula in the dataset: 0.0349 eV per atom
! * energy relative to the elements: -41.4 kJ/mol of atoms

! PBE-GGA LaIn2Pb, relaxed; values from VASP
&SYSTEM
  ibrav = 0, nat = 4, ntyp = 3
/
ATOMIC_SPECIES
In 114.82 In.upf
La 138.91 La.upf
Pb 207.20 Pb.upf
ATOMIC_POSITIONS crystal
In 0.000 0.000 0.000
In 0.250 0.250 0.250
La 0.500 0.500 0.500
Pb 0.750 0.750 0.750
CELL_PARAMETERS angstrom
5.512 0.000 0.000
2.756 4.773 0.000
2.756 1.591 4.500
! * total moment: 0.00 μB/cell
! * Fermi-level density of states: 3.8 states/eV/f.u.
! * energy relative to the elements: -22.9 kJ/mol of atoms

! PBE-GGA La2InPb9, relaxed; values from VASP
&SYSTEM
  ibrav = 0, nat = 12, ntyp = 3
/
ATOMIC_SPECIES
La 138.91 La.upf
In 114.82 In.upf
Pb 207.20 Pb.upf
ATOMIC_POSITIONS crystal
La 0.000 0.000 0.341
La 0.000 0.000 0.659
In 0.000 0.000 0.000
Pb 0.500 0.500 0.000
Pb 0.500 0.500 0.329
Pb 0.500 0.500 0.671
Pb 0.500 0.000 0.164
Pb 0.500 0.000 0.500
Pb 0.500 0.000 0.836
Pb 0.000 0.500 0.164
Pb 0.000 0.500 0.500
Pb 0.000 0.500 0.836
CELL_PARAMETERS angstrom
4.919 0.000 0.000
0.000 4.919 0.000
0.000 0.000 15.206
! * total moment: 0.00 μB/cell
! * Fermi-level density of states: 6.2 states/eV/f.u.
! * energy relative to the elements: -26.7 kJ/mol of atoms

! PBE-GGA LaIn6Pb, relaxed; values from VASP
&SYSTEM
  ibrav = 0, nat = 8, ntyp = 3
/
ATOMIC_SPECIES
La 138.91 La.upf
In 114.82 In.upf
Pb 207.20 Pb.upf
ATOMIC_POSITIONS crystal
La 0.500 0.000 0.000
In 0.000 0.746 0.254
In 0.000 0.254 0.746
In 0.000 0.746 0.746
In 0.000 0.254 0.254
In 0.500 0.500 0.000
In 0.500 0.000 0.500
Pb 0.500 0.500 0.500
CELL_PARAMETERS angstrom
4.570 0.000 0.000
0.000 6.988 -0.046
0.000 0.043 6.988
! * total moment: 0.00 μB/cell
! * Fermi-level density of states: 4.6 states/eV/f.u.
! * energy relative to the elements: -17.1 kJ/mol of atoms

! PBE-GGA LaIn2Pb, relaxed; values from VASP
&SYSTEM
  ibrav = 0, nat = 4, ntyp = 3
/
ATOMIC_SPECIES
In 114.82 In.upf
La 138.91 La.upf
Pb 207.20 Pb.upf
ATOMIC_POSITIONS crystal
In 0.000 0.003 0.010
In 0.500 0.998 0.251
La 0.000 0.499 0.496
Pb 0.500 0.999 0.743
CELL_PARAMETERS angstrom
-2.317 -0.432 4.881
2.960 -0.668 1.346
0.961 6.316 1.015
! * total moment: 0.10 μB/cell
! * Fermi-level density of states: 3.0 states/eV/f.u.
! * energy relative to the elements: -28.4 kJ/mol of atoms

! PBE-GGA La6In2Pb, relaxed; values from VASP
&SYSTEM
  ibrav = 0, nat = 9, ntyp = 3
/
ATOMIC_SPECIES
La 138.91 La.upf
In 114.82 In.upf
Pb 207.20 Pb.upf
ATOMIC_POSITIONS crystal
La 0.500 0.334 0.334
La 0.500 0.666 0.666
La 0.500 0.000 0.666
La 0.500 0.666 0.000
La 0.500 0.334 0.000
La 0.500 0.000 0.334
In 0.000 0.333 0.667
In 0.000 0.667 0.333
Pb 0.000 0.000 0.000
CELL_PARAMETERS angstrom
3.367 0.000 0.000
0.000 8.336 -4.813
0.000 0.000 9.625
! * total moment: 0.00 μB/cell
! * Fermi-level density of states: 13.2 states/eV/f.u.
! * excess energy over the best structure of this formula in the dataset: 0.0897 eV per atom
! * energy relative to the elements: -22.0 kJ/mol of atoms

! PBE-GGA La2InPb, relaxed; values from VASP
&SYSTEM
  ibrav = 0, nat = 4, ntyp = 3
/
ATOMIC_SPECIES
Pb 207.20 Pb.upf
In 114.82 In.upf
La 138.91 La.upf
ATOMIC_POSITIONS crystal
Pb 0.000 0.625 0.374
In 0.500 0.625 0.876
La 0.000 0.124 0.874
La 0.500 0.126 0.376
CELL_PARAMETERS angstrom
5.888 0.000 0.000
0.000 3.630 0.002
0.000 -0.003 5.888
! * total moment: 0.00 μB/cell
! * Fermi-level density of states: 3.2 states/eV/f.u.
! * energy relative to the elements: -49.9 kJ/mol of atoms

! PBE-GGA LaIn2Pb, relaxed; values from VASP
&SYSTEM
  ibrav = 0, nat = 4, ntyp = 3
/
ATOMIC_SPECIES
Pb 207.20 Pb.upf
In 114.82 In.upf
La 138.91 La.upf
ATOMIC_POSITIONS crystal
Pb 0.500 0.500 0.000
In 0.000 0.000 0.000
In 0.500 0.000 0.500
La 0.000 0.500 0.500
CELL_PARAMETERS angstrom
8.391 0.099 0.175
-2.772 3.885 0.029
2.847 2.012 3.551
! * total moment: 0.00 μB/cell
! * Fermi-level density of states: 1.9 states/eV/f.u.
! * energy relative to the elements: -45.9 kJ/mol of atoms

! PBE-GGA La2InPb, relaxed; values from VASP
&SYSTEM
  ibrav = 0, nat = 4, ntyp = 3
/
ATOMIC_SPECIES
In 114.82 In.upf
La 138.91 La.upf
Pb 207.20 Pb.upf
ATOMIC_POSITIONS crystal
In 0.500 0.500 0.500
La 0.000 0.000 0.000
La 0.250 0.250 0.250
Pb 0.750 0.750 0.750
CELL_PARAMETERS angstrom
5.610 0.000 0.000
2.805 4.858 0.000
2.805 1.619 4.580
! * total moment: 0.00 μB/cell
! * Fermi-level density of states: 6.3 states/eV/f.u.
! * energy relative to the elements: -10.5 kJ/mol of atoms

! PBE-GGA La2InPb, relaxed; values from VASP
&SYSTEM
  ibrav = 0, nat = 4, ntyp = 3
/
ATOMIC_SPECIES
Pb 207.20 Pb.upf
In 114.82 In.upf
La 138.91 La.upf
ATOMIC_POSITIONS crystal
Pb 0.524 0.524 0.477
In 0.227 0.227 0.273
La 0.992 0.992 0.008
La 0.757 0.757 0.742
CELL_PARAMETERS angstrom
-4.244 -1.161 4.812
-2.390 -4.959 3.494
2.223 -0.483 4.515
! * total moment: 0.00 μB/cell
! * Fermi-level density of states: 2.8 states/eV/f.u.
! * energy relative to the elements: -50.8 kJ/mol of atoms

! PBE-GGA La5In4Pb, relaxed; values from VASP
&SYSTEM
  ibrav = 0, nat = 10, ntyp = 3
/
ATOMIC_SPECIES
La 138.91 La.upf
In 114.82 In.upf
Pb 207.20 Pb.upf
ATOMIC_POSITIONS crystal
La 0.500 0.500 0.104
La 0.500 0.500 0.303
La 0.500 0.500 0.500
La 0.500 0.500 0.697
La 0.500 0.500 0.896
In 0.000 0.000 0.205
In 0.000 0.000 0.402
In 0.000 0.000 0.598
In 0.000 0.000 0.795
Pb 0.000 0.000 0.000
CELL_PARAMETERS angstrom
3.944 0.000 0.000
0.000 3.944 0.000
0.000 0.000 20.060
! * total moment: 0.00 μB/cell
! * Fermi-level density of states: 5.1 states/eV/f.u.
! * energy relative to the elements: -50.3 kJ/mol of atoms

! PBE-GGA LaInPb, relaxed; values from VASP
&SYSTEM
  ibrav = 0, nat = 3, ntyp = 3
/
ATOMIC_SPECIES
In 114.82 In.upf
La 138.91 La.upf
Pb 207.20 Pb.upf
ATOMIC_POSITIONS crystal
In 0.013 0.013 0.987
La 0.336 0.336 0.664
Pb 0.652 0.652 0.348
CELL_PARAMETERS angstrom
6.663 -0.049 0.046
5.292 3.686 0.024
1.371 -0.227 3.728
! * total moment: 0.01 μB/cell
! * Fermi-level density of states: 2.5 states/eV/f.u.
! * excess energy over the best structure of this formula in the dataset: 0.1266 eV per atom
! * energy relative to the elements: -32.6 kJ/mol of atoms

! PBE-GGA LaInPb, relaxed; values from VASP
&SYSTEM
  ibrav = 0, nat = 6, ntyp = 3
/
ATOMIC_SPECIES
La 138.91 La.upf
In 114.82 In.upf
Pb 207.20 Pb.upf
ATOMIC_POSITIONS crystal
La 0.669 0.750 0.837
La 0.331 0.250 0.163
In 0.000 0.500 0.500
In 0.000 0.000 0.500
Pb 0.309 0.750 0.118
Pb 0.691 0.250 0.882
CELL_PARAMETERS angstrom
-3.296 -3.843 3.482
2.099 -5.108 -3.650
5.189 1.396 1.031
! * total moment: 0.00 μB/cell
! * Fermi-level density of states: 1.9 states/eV/f.u.
! * excess energy over the best structure of this formula in the dataset: 0.0361 eV per atom
! * energy relative to the elements: -41.3 kJ/mol of atoms

! PBE-GGA LaInPb, relaxed; values from VASP
&SYSTEM
  ibrav = 0, nat = 3, ntyp = 3
/
ATOMIC_SPECIES
In 114.82 In.upf
La 138.91 La.upf
Pb 207.20 Pb.upf
ATOMIC_POSITIONS crystal
In 0.750 0.750 0.750
La 0.000 0.000 0.000
Pb 0.500 0.500 0.500
CELL_PARAMETERS angstrom
-3.651 1.425 3.493
-5.045 0.246 -1.429
-3.418 -3.545 1.818
! * total moment: 0.00 μB/cell
! * Fermi-level density of states: 2.1 states/eV/f.u.
! * excess energy over the best structure of this formula in the dataset: 0.2375 eV per atom
! * energy relative to the elements: -21.9 kJ/mol of atoms

! PBE-GGA La2InPb, relaxed; values from VASP
&SYSTEM
  ibrav = 0, nat = 4, ntyp = 3
/
ATOMIC_SPECIES
In 114.82 In.upf
La 138.91 La.upf
Pb 207.20 Pb.upf
ATOMIC_POSITIONS crystal
In 0.500 0.500 0.727
La 0.000 0.000 0.964
La 0.500 0.500 0.276
Pb 0.000 0.000 0.533
CELL_PARAMETERS angstrom
3.894 0.000 0.000
0.000 3.894 0.000
0.000 0.000 8.675
! * total moment: 0.00 μB/cell
! * Fermi-level density of states: 4.0 states/eV/f.u.
! * energy relative to the elements: -19.1 kJ/mol of atoms

! PBE-GGA LaIn2Pb, relaxed; values from VASP
&SYSTEM
  ibrav = 0, nat = 4, ntyp = 3
/
ATOMIC_SPECIES
In 114.82 In.upf
La 138.91 La.upf
Pb 207.20 Pb.upf
ATOMIC_POSITIONS crystal
In 0.004 0.004 0.004
In 0.496 0.496 0.496
La 0.250 0.250 0.250
Pb 0.750 0.750 0.750
CELL_PARAMETERS angstrom
10.774 -0.029 -0.017
10.166 3.567 -0.017
10.166 1.718 3.127
! * total moment: 0.29 μB/cell
! * Fermi-level density of states: 4.6 states/eV/f.u.
! * energy relative to the elements: -11.6 kJ/mol of atoms

! PBE-GGA LaIn2Pb, relaxed; values from VASP
&SYSTEM
  ibrav = 0, nat = 4, ntyp = 3
/
ATOMIC_SPECIES
In 114.82 In.upf
La 138.91 La.upf
Pb 207.20 Pb.upf
ATOMIC_POSITIONS crystal
In 0.000 0.000 0.974
In 0.000 0.000 0.526
La 0.500 0.500 0.250
Pb 0.500 0.500 0.750
CELL_PARAMETERS angstrom
-3.983 -0.300 -0.397
-0.110 -2.591 3.064
-0.884 5.555 4.666
! * total moment: 0.00 μB/cell
! * Fermi-level density of states: 3.6 states/eV/f.u.
! * energy relative to the elements: -26.2 kJ/mol of atoms

! PBE-GGA LaIn2Pb, relaxed; values from VASP
&SYSTEM
  ibrav = 0, nat = 4, ntyp = 3
/
ATOMIC_SPECIES
Pb 207.20 Pb.upf
In 114.82 In.upf
La 138.91 La.upf
ATOMIC_POSITIONS crystal
Pb 0.248 0.248 0.252
In 0.011 0.011 0.989
In 0.747 0.747 0.753
La 0.493 0.493 0.507
CELL_PARAMETERS angstrom
6.197 0.026 -0.039
4.404 4.360 -0.039
1.810 0.749 4.277
! * total moment: 0.00 μB/cell
! * Fermi-level density of states: 2.5 states/eV/f.u.
! * energy relative to the elements: -38.2 kJ/mol of atoms

! PBE-GGA La2InPb4, relaxed; values from VASP
&SYSTEM
  ibrav = 0, nat = 14, ntyp = 3
/
ATOMIC_SPECIES
Pb 207.20 Pb.upf
In 114.82 In.upf
La 138.91 La.upf
ATOMIC_POSITIONS crystal
Pb 0.750 0.750 0.000
Pb 0.750 0.500 0.500
Pb 0.750 0.000 0.500
Pb 0.750 0.250 0.000
Pb 0.250 0.750 0.000
Pb 0.250 0.000 0.500
Pb 0.250 0.500 0.500
Pb 0.250 0.250 0.000
In 0.000 0.000 0.000
In 0.500 0.500 0.000
La 0.000 0.648 0.296
La 0.000 0.352 0.704
La 0.500 0.852 0.704
La 0.500 0.148 0.296
CELL_PARAMETERS angstrom
-7.794 0.145 -7.467
4.522 -0.237 -4.725
-2.486 -6.368 2.472
! * total moment: 0.00 μB/cell
! * Fermi-level density of states: 5.3 states/eV/f.u.
! * energy relative to the elements: -25.4 kJ/mol of atoms

! PBE-GGA LaInPb3, relaxed; values from VASP
&SYSTEM
  ibrav = 0, nat = 10, ntyp = 3
/
ATOMIC_SPECIES
La 138.91 La.upf
In 114.82 In.upf
Pb 207.20 Pb.upf
ATOMIC_POSITIONS crystal
La 0.750 0.178 0.356
La 0.250 0.822 0.644
In 0.750 0.678 0.356
In 0.250 0.322 0.644
Pb 0.750 0.601 0.709
Pb 0.750 0.109 0.709
Pb 0.250 0.891 0.291
Pb 0.250 0.399 0.291
Pb 0.000 0.000 0.000
Pb 0.500 0.000 0.000
CELL_PARAMETERS angstrom
6.140 0.000 0.000
0.000 5.997 -3.156
0.000 0.927 9.037
! * total moment: 0.00 μB/cell
! * Fermi-level density of states: 3.9 states/eV/f.u.
! * excess energy over the best structure of this formula in the dataset: 0.0090 eV per atom
! * energy relative to the elements: -13.5 kJ/mol of atoms

! PBE-GGA La8InPb5, relaxed; values from VASP
&SYSTEM
  ibrav = 0, nat = 14, ntyp = 3
/
ATOMIC_SPECIES
La 138.91 La.upf
In 114.82 In.upf
Pb 207.20 Pb.upf
ATOMIC_POSITIONS crystal
La 0.128 0.752 0.018
La 0.982 0.110 0.734
La 0.765 0.247 0.372
La 0.628 0.393 0.875
La 0.482 0.607 0.235
La 0.625 0.890 0.872
La 0.266 0.248 0.375
La 0.125 0.753 0.518
In 0.250 0.500 0.750
Pb 0.001 0.377 0.128
Pb 0.872 0.873 0.249
Pb 0.751 0.623 0.624
Pb 0.500 0.000 0.500
Pb 0.376 0.127 0.999
CELL_PARAMETERS angstrom
-2.843 -3.238 -7.407
6.071 -5.121 3.216
-6.504 0.559 5.551
! * total moment: 0.00 μB/cell
! * Fermi-level density of states: 11.2 states/eV/f.u.
! * energy relative to the elements: -55.9 kJ/mol of atoms

! PBE-GGA LaInPb3, relaxed; values from VASP
&SYSTEM
  ibrav = 0, nat = 5, ntyp = 3
/
ATOMIC_SPECIES
Pb 207.20 Pb.upf
In 114.82 In.upf
La 138.91 La.upf
ATOMIC_POSITIONS crystal
Pb 0.000 0.500 0.000
Pb 0.000 0.000 0.500
Pb 0.500 0.000 0.000
In 0.500 0.500 0.500
La 0.000 0.000 0.000
CELL_PARAMETERS angstrom
6.137 0.000 0.000
0.000 6.137 0.000
0.000 0.000 6.137
! * total moment: 0.00 μB/cell
! * Fermi-level density of states: 4.2 states/eV/f.u.
! * excess energy over the best structure of this formula in the dataset: 0.6576 eV per atom
! * energy relative to the elements: 49.1 kJ/mol of atoms